# 1
Density functional theory data (GGA-PBEsol) for a relaxed structure of ReTc2HgW.

**Formation energy from the elements**: 1.8819 eV per atom
**DOS at the Fermi energy**: 0.990 states/eV per atom
**Energy**: -8.1659 eV per atom
**Density**: 12533 kg/m³
**V**: 101.6 Å³/cell

Lattice parameters (Å, degrees): 4.6372 4.6372 4.7237 90.00 90.00 90.00
Last column: magnetic moment on the atom in μB.
Positions (direct):
Tc 0.5000 0.0000 0.0000  0.43
Tc 0.0000 0.5000 0.0000  0.43
Hg 0.5000 0.5000 0.5000  -0.01
W 0.0000 0.0000 0.5000  -0.08
Re 0.0000 0.0000 0.0000  -0.03

# 2
Density functional theory data (GGA-PBEsol) for a relaxed structure of ReHgTe3.

**Relative energy among the computed polymorphs**: 1181 meV per atom
**Uncorrected formation energy**: 1.82 eV/atom
**DOS at the Fermi energy**: 1.095 states/eV per atom
**Energy**: -3.0771 eV per atom
**Density**: 7860 kg/m³
**V**: 162.6 Å³/cell

Lattice parameters (Å, degrees): 5.4580 5.4580 5.4580 90.00 90.00 90.00
Last column: magnetic moment on the atom in μB.
Positions (direct):
Hg 0.0000 0.0000 0.0000  0.01
Te 0.0000 0.0000 0.5000  -0.08
Te 0.5000 0.0000 0.0000  -0.08
Te 0.0000 0.5000 0.0000  -0.08
Re 0.5000 0.5000 0.5000  3.91

# 3
Density functional theory data (GGA-PBEsol) for a relaxed structure of ReHgTe.

**Uncorrected formation energy**: 0.94 eV/atom
**DOS at the Fermi energy**: 0.958 states/eV per atom
**Energy**: -4.8684 eV per atom
**Density**: 14611 kg/m³
**V**: 58.5 Å³/cell

Lattice parameters (Å, degrees): 2.8599 4.8584 4.8584 120.00 90.00 90.00
Positions (direct):
Re 0.5000 0.3333 0.6667
Hg 0.0000 0.0000 0.0000
Te 0.5000 0.6667 0.3333

# 4
Density functional theory data (GGA-PBEsol) for a relaxed structure of ReHgTe3.

**Relative energy among the computed polymorphs**: 0 meV per atom
**Uncorrected formation energy**: 0.64 eV/atom
**DOS at the Fermi energy**: 1.160 states/eV per atom
**Energy**: -4.2583 eV per atom
**Density**: 8967 kg/m³
**V**: 142.5 Å³/cell

Lattice parameters (Å, degrees): 5.2235 5.2235 5.2235 90.00 90.00 90.00
Positions (direct):
Hg 0.5000 0.5000 0.5000
Te 0.0000 0.0000 0.5000
Te 0.0000 0.5000 0.0000
Te 0.5000 0.0000 0.0000
Re 0.0000 0.0000 0.0000

| no. | magnetization (μB per cell) |
| --- | --- |
| 1 | 0.8 |
| 2 | 4.5 |
| 3 | 0.0 |
| 4 | 0.0 |